# 1
Density functional theory data (PBE-GGA) for crystalline ZnIn5Ag6 at its relaxed geometry.

a = 9.0988 Å, b = 13.0611 Å, c = 4.4879 Å
α = 90.00°, β = 112.56°, γ = 90.00°
Space group C2/m (No. 12)
Symmetry-distinct sites (fractional):
Zn: 0.0000 0.0000 0.0000 [2 per cell]
In: 0.0000 0.1564 0.5000 [4 per cell]
In: 0.0000 0.3289 0.0000 [4 per cell]
In: 0.0000 0.5000 0.5000 [2 per cell]
Ag: 0.2472 0.1622 0.2507 [8 per cell]
Ag: 0.2498 0.0000 0.7725 [4 per cell]

Output
Density of states at the Fermi level = 6.6 states/eV/cell
Density = 8.68 g/cm3
Total magnetization = 0.0000 μB/atom
Crystal system = monoclinic
Electronic total energy = -0.097 hartree per atom

# 2
Density functional theory data (PBE-GGA) for crystalline CePu2Co at its relaxed geometry.

a = 4.8087 Å, b = 4.8087 Å, c = 12.5494 Å
α = 90.00°, β = 90.00°, γ = 120.00°
Space group R-3m (No. 166, hexagonal axes)
Symmetry-distinct sites (fractional):
Ce: 0.0000 0.0000 0.0000 [3 per cell]
Pu: 0.0000 0.0000 0.2477 [6 per cell]
Co: 0.0000 0.0000 0.5000 [3 per cell]

Output
Density of states at the Fermi level = 40.6 states/eV/cell
Density = 13.62 g/cm3
Total magnetization = 2.7986 μB/atom
Crystal system = trigonal
Electronic total energy = -0.379 hartree per atom

# 3
Density functional theory data (PBE-GGA) for crystalline KSbAs2 at its relaxed geometry.

a = 4.7788 Å, b = 4.7788 Å, c = 8.7055 Å
α = 90.00°, β = 90.00°, γ = 90.00°
Space group I4/mmm (No. 139)
Symmetry-distinct sites (fractional):
K: 0.0000 0.0000 0.0000 [2 per cell]
Sb: 0.0000 0.0000 0.5000 [2 per cell]
As: 0.0000 0.5000 0.2500 [4 per cell]

Output
Density of states at the Fermi level = 5.6 states/eV/cell
Density = 5.19 g/cm3
Total magnetization = 0.0000 μB/atom
Crystal system = tetragonal
Electronic total energy = -0.127 hartree per atom

# 4
Density functional theory data (PBE-GGA) for crystalline CrGaCuSn2 at its relaxed geometry.

a = 5.0285 Å, b = 5.0285 Å, c = 4.7475 Å
α = 90.00°, β = 90.00°, γ = 90.00°
Space group P4/mmm (No. 123)
Symmetry-distinct sites (fractional):
Cr: 0.0000 0.0000 0.0000 [1 per cell]
Ga: 0.0000 0.0000 0.5000 [1 per cell]
Cu: 0.5000 0.5000 0.5000 [1 per cell]
Sn: 0.0000 0.5000 0.0000 [2 per cell]

Output
Density of states at the Fermi level = 2.3 states/eV/cell
Density = 5.85 g/cm3
Total magnetization = 0.3343 μB/atom
Crystal system = tetragonal
Electronic total energy = -0.162 hartree per atom

# 5
Density functional theory data (PBE-GGA) for crystalline CaTaSb2 at its relaxed geometry.

a = 7.2753 Å, b = 7.2753 Å, c = 7.2753 Å
α = 90.00°, β = 90.00°, γ = 90.00°
Space group F-43m (No. 216)
Symmetry-distinct sites (fractional):
Ca: 0.0000 0.0000 0.0000 [4 per cell]
Ta: 0.2500 0.2500 0.2500 [4 per cell]
Sb: 0.0000 0.0000 0.5000 [4 per cell]
Sb: 0.2500 0.2500 0.7500 [4 per cell]

Output
Density of states at the Fermi level = 11.8 states/eV/cell
Density = 8.01 g/cm3
Total magnetization = 0.0054 μB/atom
Crystal system = cubic
Electronic total energy = -0.187 hartree per atom

# 6
Density functional theory data (PBE-GGA) for crystalline NdThRu4 at its relaxed geometry.

a = 7.6732 Å, b = 7.6732 Å, c = 7.6732 Å
α = 90.00°, β = 90.00°, γ = 90.00°
Space group F-43m (No. 216)
Symmetry-distinct sites (fractional):
Nd: 0.0000 0.0000 0.0000 [4 per cell]
Th: 0.2500 0.2500 0.7500 [4 per cell]
Ru: 0.1250 0.1250 0.3750 [16 per cell]

Output
Density of states at the Fermi level = 17.1 states/eV/cell
Density = 11.48 g/cm3
Total magnetization = 0.0000 μB/atom
Crystal system = cubic
Electronic total energy = -0.310 hartree per atom

# 7
Density functional theory data (PBE-GGA) for crystalline HoFe2Co at its relaxed geometry.

a = 5.0646 Å, b = 5.0646 Å, c = 24.3549 Å
α = 90.00°, β = 90.00°, γ = 120.00°
Space group R-3m (No. 166, hexagonal axes)
Symmetry-distinct sites (fractional):
Ho: 0.0000 0.0000 0.0000 [3 per cell]
Ho: 0.0000 0.0000 0.1422 [6 per cell]
Fe: 0.0000 0.5000 0.0817 [18 per cell]
Co: 0.0000 0.0000 0.3324 [6 per cell]
Co: 0.0000 0.0000 0.5000 [3 per cell]

Output
Density of states at the Fermi level = 26.8 states/eV/cell
Density = 9.27 g/cm3
Total magnetization = 1.3764 μB/atom
Crystal system = trigonal
Electronic total energy = -0.268 hartree per atom

# 8
Density functional theory data (PBE-GGA) for crystalline Y4SbPb at its relaxed geometry.

a = 8.9550 Å, b = 8.9550 Å, c = 8.9550 Å
α = 90.00°, β = 90.00°, γ = 90.00°
Space group F-43m (No. 216)
Symmetry-distinct sites (fractional):
Y: 0.1248 0.1248 0.1248 [16 per cell]
Sb: 0.0000 0.0000 0.5000 [4 per cell]
Pb: 0.2500 0.2500 0.7500 [4 per cell]

Output
Density of states at the Fermi level = 27.0 states/eV/cell
Density = 6.33 g/cm3
Total magnetization = 0.0002 μB/atom
Crystal system = cubic
Electronic total energy = -0.205 hartree per atom

# 9
Density functional theory data (PBE-GGA) for crystalline Mn2CdIn at its relaxed geometry.

a = 3.0437 Å, b = 3.0437 Å, c = 7.6819 Å
α = 90.00°, β = 90.00°, γ = 90.00°
Space group P4/mmm (No. 123)
Symmetry-distinct sites (fractional):
Mn: 0.0000 0.0000 0.2499 [2 per cell]
Cd: 0.5000 0.5000 0.0000 [1 per cell]
In: 0.5000 0.5000 0.5000 [1 per cell]

Output
Density of states at the Fermi level = 2.9 states/eV/cell
Density = 7.87 g/cm3
Total magnetization = 1.7532 μB/atom
Crystal system = tetragonal
Electronic total energy = -0.192 hartree per atom

# 10
Density functional theory data (PBE-GGA) for crystalline LiCrGeOs2 at its relaxed geometry.

a = 4.4810 Å, b = 4.4810 Å, c = 4.5719 Å
α = 90.00°, β = 90.00°, γ = 90.00°
Space group P4/mmm (No. 123)
Symmetry-distinct sites (fractional):
Li: 0.0000 0.0000 0.0000 [1 per cell]
Cr: 0.5000 0.5000 0.5000 [1 per cell]
Ge: 0.5000 0.5000 0.0000 [1 per cell]
Os: 0.0000 0.5000 0.5000 [2 per cell]

Output
Density of states at the Fermi level = 5.3 states/eV/cell
Density = 9.26 g/cm3
Total magnetization = 0.0000 μB/atom
Crystal system = tetragonal
Electronic total energy = -0.241 hartree per atom

# 11
Density functional theory data (PBE-GGA) for crystalline Dy2Ga3Cu4Ag at its relaxed geometry.

a = 4.0325 Å, b = 4.0325 Å, c = 10.8277 Å
α = 90.00°, β = 90.00°, γ = 90.00°
Space group P-4m2 (No. 115)
Symmetry-distinct sites (fractional):
Dy: 0.0000 0.5000 0.2432 [2 per cell]
Ga: 0.0000 0.5000 0.8703 [2 per cell]
Ga: 0.5000 0.5000 0.5000 [1 per cell]
Cu: 0.0000 0.0000 0.0000 [1 per cell]
Cu: 0.0000 0.5000 0.6503 [2 per cell]
Cu: 0.5000 0.5000 0.0000 [1 per cell]
Ag: 0.0000 0.0000 0.5000 [1 per cell]

Output
Density of states at the Fermi level = 4.4 states/eV/cell
Density = 8.45 g/cm3
Total magnetization = 0.0000 μB/atom
Crystal system = tetragonal
Electronic total energy = -0.151 hartree per atom

# 12
Density functional theory data (PBE-GGA) for crystalline Y2MgInB at its relaxed geometry.

a = 5.0757 Å, b = 5.0757 Å, c = 4.5832 Å
α = 90.00°, β = 90.00°, γ = 90.00°
Space group P4/mmm (No. 123)
Symmetry-distinct sites (fractional):
Y: 0.0000 0.5000 0.0000 [2 per cell]
Mg: 0.0000 0.0000 0.5000 [1 per cell]
In: 0.5000 0.5000 0.5000 [1 per cell]
B: 0.0000 0.0000 0.0000 [1 per cell]

Output
Density of states at the Fermi level = 4.0 states/eV/cell
Density = 4.61 g/cm3
Total magnetization = 0.0000 μB/atom
Crystal system = tetragonal
Electronic total energy = -0.183 hartree per atom

# 13
Density functional theory data (PBE-GGA) for crystalline Tm2Zn7Au at its relaxed geometry.

a = 4.0788 Å, b = 4.0788 Å, c = 10.9345 Å
α = 90.00°, β = 90.00°, γ = 90.00°
Space group P-4m2 (No. 115)
Symmetry-distinct sites (fractional):
Tm: 0.0000 0.5000 0.2436 [2 per cell]
Zn: 0.0000 0.0000 0.0000 [1 per cell]
Zn: 0.0000 0.5000 0.6467 [2 per cell]
Zn: 0.0000 0.5000 0.8655 [2 per cell]
Zn: 0.5000 0.5000 0.0000 [1 per cell]
Zn: 0.5000 0.5000 0.5000 [1 per cell]
Au: 0.0000 0.0000 0.5000 [1 per cell]

Output
Density of states at the Fermi level = 3.3 states/eV/cell
Density = 9.06 g/cm3
Total magnetization = 0.0000 μB/atom
Crystal system = tetragonal
Electronic total energy = -0.089 hartree per atom

# 14
Density functional theory data (PBE-GGA) for crystalline Pm2AgP3Pt12 at its relaxed geometry.

a = 8.3520 Å, b = 8.3520 Å, c = 17.5189 Å
α = 90.00°, β = 90.00°, γ = 120.00°
Space group R-3m (No. 166, hexagonal axes)
Symmetry-distinct sites (fractional):
Pm: 0.0000 0.0000 0.1076 [6 per cell]
Ag: 0.0000 0.0000 0.5000 [3 per cell]
P: 0.0000 0.5000 0.0000 [9 per cell]
Pt: 0.0129 0.5064 0.8710 [18 per cell]
Pt: 0.0364 0.5182 0.3597 [18 per cell]

Output
Density of states at the Fermi level = 18.2 states/eV/cell
Density = 13.33 g/cm3
Total magnetization = 0.0000 μB/atom
Crystal system = trigonal
Electronic total energy = -0.219 hartree per atom

# 15
Density functional theory data (PBE-GGA) for crystalline Tb3ErAg at its relaxed geometry.

a = 11.1018 Å, b = 7.4748 Å, c = 7.7616 Å
α = 90.00°, β = 111.75°, γ = 90.00°
Space group C2/m (No. 12)
Symmetry-distinct sites (fractional):
Tb: 0.0559 0.0000 0.2393 [4 per cell]
Tb: 0.1644 0.2508 0.6502 [8 per cell]
Er: 0.0583 0.5000 0.2413 [4 per cell]
Ag: 0.2450 0.5000 0.0007 [4 per cell]

Output
Density of states at the Fermi level = 20.3 states/eV/cell
Density = 8.35 g/cm3
Total magnetization = 0.0000 μB/atom
Crystal system = monoclinic
Electronic total energy = -0.157 hartree per atom

# 16
Density functional theory data (PBE-GGA) for crystalline Th4Sn8Ir at its relaxed geometry.

a = 4.4924 Å, b = 4.5043 Å, c = 17.4873 Å
α = 90.00°, β = 90.00°, γ = 90.00°
Space group Pmm2 (No. 25)
Symmetry-distinct sites (fractional):
Th: 0.0000 0.0000 0.0000 [1 per cell]
Th: 0.0000 0.5000 0.4880 [1 per cell]
Th: 0.5000 0.0000 0.7802 [1 per cell]
Th: 0.5000 0.5000 0.2878 [1 per cell]
Sn: 0.0000 0.0000 0.3259 [1 per cell]
Sn: 0.0000 0.0000 0.6238 [1 per cell]
Sn: 0.0000 0.5000 0.1441 [1 per cell]
Sn: 0.0000 0.5000 0.8518 [1 per cell]
Sn: 0.5000 0.0000 0.1434 [1 per cell]
Sn: 0.5000 0.0000 0.4459 [1 per cell]
Sn: 0.5000 0.5000 0.6229 [1 per cell]
Sn: 0.5000 0.5000 0.9605 [1 per cell]
Ir: 0.0000 0.5000 0.7046 [1 per cell]

Output
Density of states at the Fermi level = 5.6 states/eV/cell
Density = 9.71 g/cm3
Total magnetization = 0.0000 μB/atom
Crystal system = orthorhombic
Electronic total energy = -0.219 hartree per atom

# 17
Density functional theory data (PBE-GGA) for crystalline Dy5MgTe2 at its relaxed geometry.

a = 5.8669 Å, b = 12.6030 Å, c = 13.3353 Å
α = 90.00°, β = 90.00°, γ = 90.00°
Space group Cmcm (No. 63)
Symmetry-distinct sites (fractional):
Dy: 0.0000 0.0549 0.1126 [8 per cell]
Dy: 0.0000 0.3806 0.0443 [8 per cell]
Dy: 0.0000 0.3917 0.7500 [4 per cell]
Mg: 0.0000 0.2726 0.2500 [4 per cell]
Te: 0.0000 0.1873 0.5994 [8 per cell]

Output
Density of states at the Fermi level = 38.7 states/eV/cell
Density = 7.36 g/cm3
Total magnetization = 0.0001 μB/atom
Crystal system = orthorhombic
Electronic total energy = -0.157 hartree per atom

# 18
Density functional theory data (PBE-GGA) for crystalline Cs2CrI5 at its relaxed geometry.

a = 8.2343 Å, b = 8.2343 Å, c = 5.7121 Å
α = 90.00°, β = 90.00°, γ = 90.00°
Space group P4/mmm (No. 123)
Symmetry-distinct sites (fractional):
Cs: 0.0000 0.5000 0.0000 [2 per cell]
Cr: 0.0000 0.0000 0.5000 [1 per cell]
I: 0.0000 0.0000 0.0000 [1 per cell]
I: 0.2363 0.2363 0.5000 [4 per cell]

Output
Density of states at the Fermi level = 8.6 states/eV/cell
Density = 4.08 g/cm3
Total magnetization = 0.3920 μB/atom
Crystal system = tetragonal
Electronic total energy = -0.123 hartree per atom